(1)
## MnZn2Tc (meta-GGA SCAN)

Data for MnZn2Tc at its PBEsol-relaxed geometry.

Unit cell a=2.8233 b=2.8233 c=6.4749 alpha=90.00 beta=90.00 gamma=90.00
Space group P4mm (No. 99)
One atom of each set of equivalent atoms:
Mn1 0.0000 0.0000 0.0000 x1
Zn1 0.0000 0.0000 0.4888 x1
Zn2 0.5000 0.5000 0.7513 x1
Tc1 0.5000 0.5000 0.2061 x1

Computed properties:
DOS at the Fermi energy: 1.50 states/eV/f.u.
size of the total moment: 0.0 μB/f.u.
energy of formation from the pure elements: 0 kJ per mole of atoms
uncorrected energy: -0.738 Ha/atom

---

(2)
## ZnMo2Se (meta-GGA SCAN)

Data for ZnMo2Se at its PBEsol-relaxed geometry.

Unit cell a=4.4972 b=2.9446 c=9.4790 alpha=90.00 beta=90.00 gamma=90.00
Space group Amm2 (No. 38)
One atom of each set of equivalent atoms:
Zn1 0.0000 0.0000 0.0000 x2
Mo1 0.0000 0.0000 0.7376 x2
Mo2 0.5000 0.0000 0.3490 x2
Se1 0.5000 0.0000 0.6290 x2

Computed properties:
DOS at the Fermi energy: 2.20 states/eV/f.u.
size of the total moment: 0.0 μB/f.u.
uncorrected energy: -0.940 Ha/atom
E_form (uncorrected): 0.269 eV/atom

---

(3)
## Ba2AlTc (meta-GGA SCAN)

Data for Ba2AlTc at its PBEsol-relaxed geometry.

Unit cell a=3.5353 b=4.3508 c=7.5703 alpha=90.00 beta=90.00 gamma=90.00
Space group Pmmm (No. 47)
One atom of each set of equivalent atoms:
Ba1 0.0000 0.0000 0.2351 x2
Al1 0.5000 0.5000 0.5000 x1
Tc1 0.5000 0.5000 0.0000 x1

Computed properties:
DOS at the Fermi energy: 4.19 states/eV/f.u.
size of the total moment: 2.2 μB/f.u.
energy of formation from the pure elements: 74 kJ per mole of atoms
uncorrected energy: -1.092 Ha/atom

---

(4)
## LaMnInC2 (meta-GGA SCAN)

Data for LaMnInC2 at its PBEsol-relaxed geometry.

Unit cell a=4.2734 b=4.2734 c=5.8824 alpha=90.00 beta=90.00 gamma=90.00
Space group P4/mmm (No. 123)
One atom of each set of equivalent atoms:
La1 0.0000 0.0000 0.0000 x1
Mn1 0.5000 0.5000 0.0000 x1
In1 0.0000 0.0000 0.5000 x1
C1 0.0000 0.5000 0.5000 x2

Computed properties:
DOS at the Fermi energy: 3.12 states/eV/f.u.
size of the total moment: 4.5 μB/f.u.
energy of formation from the pure elements: 212 kJ per mole of atoms
uncorrected energy: -0.764 Ha/atom

---

(5)
## HoF3 (meta-GGA SCAN)

Data for HoF3 at its PBEsol-relaxed geometry.

Unit cell a=6.2909 b=6.7778 c=4.3237 alpha=90.00 beta=90.00 gamma=90.00
Space group Pnma (No. 62)
One atom of each set of equivalent atoms:
Ho1 0.1306 0.2500 0.0636 x4
F1 0.0218 0.7500 0.4120 x4
F2 0.1651 0.5627 0.8789 x8

Computed properties:
DOS at the Fermi energy: 0.00 states/eV/f.u.
size of the total moment: 0.0 μB/f.u.
uncorrected energy: -0.712 Ha/atom
E_form (uncorrected): -4.464 eV/atom

---

(6)
## LiTeAu2N (meta-GGA SCAN)

Data for LiTeAu2N at its PBEsol-relaxed geometry.

Unit cell a=5.2047 b=5.2047 c=5.2812 alpha=90.00 beta=90.00 gamma=90.00
Space group P4/mmm (No. 123)
One atom of each set of equivalent atoms:
Li1 0.0000 0.0000 0.0000 x1
Te1 0.0000 0.0000 0.5000 x1
Au1 0.0000 0.5000 0.5000 x2
N1 0.5000 0.5000 0.0000 x1

Computed properties:
DOS at the Fermi energy: 0.51 states/eV/f.u.
size of the total moment: 2.9 μB/f.u.
uncorrected energy: -1.343 Ha/atom
E_form (uncorrected): 0.908 eV/atom

---

(7)
## PdPbSCl2 (meta-GGA SCAN)

Data for PdPbSCl2 at its PBEsol-relaxed geometry.

Unit cell a=5.2473 b=5.2473 c=5.1562 alpha=90.00 beta=90.00 gamma=90.00
Space group P4/mmm (No. 123)
One atom of each set of equivalent atoms:
Pd1 0.0000 0.0000 0.0000 x1
Pb1 0.5000 0.5000 0.5000 x1
S1 0.5000 0.5000 0.0000 x1
Cl1 0.0000 0.5000 0.5000 x2

Computed properties:
DOS at the Fermi energy: 1.12 states/eV/f.u.
size of the total moment: 1.0 μB/f.u.
uncorrected energy: -0.978 Ha/atom
E_form (uncorrected): 0.220 eV/atom

---

(8)
## Li5Cu4 (meta-GGA SCAN)

Data for Li5Cu4 at its PBEsol-relaxed geometry.

Unit cell a=7.3250 b=7.3250 c=5.0351 alpha=90.00 beta=90.00 gamma=120.00
Space group P6_3/mcm (No. 193)
One atom of each set of equivalent atoms:
Li1 0.0000 0.3450 0.2500 x6
Li2 0.3333 0.6667 0.0000 x4
Cu1 0.0000 0.0000 0.0000 x2
Cu2 0.0000 0.3041 0.7500 x6

Computed properties:
DOS at the Fermi energy: 2.57 states/eV/f.u.
size of the total moment: 0.0 μB/f.u.
energy of formation from the pure elements: 7 kJ per mole of atoms
uncorrected energy: -0.294 Ha/atom

---

(9)
## SiMoH2 (meta-GGA SCAN)

Data for SiMoH2 at its PBEsol-relaxed geometry.

Unit cell a=5.1450 b=5.1450 c=5.1450 alpha=90.00 beta=90.00 gamma=90.00
Space group Fm-3m (No. 225)
One atom of each set of equivalent atoms:
Si1 0.0000 0.0000 0.0000 x4
Mo1 0.0000 0.0000 0.5000 x4
H1 0.2500 0.2500 0.2500 x8

Computed properties:
DOS at the Fermi energy: 2.05 states/eV/f.u.
size of the total moment: 0.0 μB/f.u.
uncorrected energy: -0.444 Ha/atom

---

(10)
## BaScP2 (meta-GGA SCAN)

Data for BaScP2 at its PBEsol-relaxed geometry.

Unit cell a=4.0749 b=4.0749 c=20.5799 alpha=90.00 beta=90.00 gamma=120.00
Space group R-3m (No. 166, hexagonal axes)
One atom of each set of equivalent atoms:
Ba1 0.0000 0.0000 0.0000 x3
Sc1 0.0000 0.0000 0.5000 x3
P1 0.0000 0.0000 0.2289 x6

Computed properties:
DOS at the Fermi energy: 2.51 states/eV/f.u.
size of the total moment: 0.0 μB/f.u.
energy of formation from the pure elements: -110 kJ per mole of atoms
uncorrected energy: -0.727 Ha/atom

---

(11)
## TaCuAs2Se (meta-GGA SCAN)

Data for TaCuAs2Se at its PBEsol-relaxed geometry.

Unit cell a=4.5316 b=4.5316 c=4.6204 alpha=90.00 beta=90.00 gamma=90.00
Space group P4/mmm (No. 123)
One atom of each set of equivalent atoms:
Ta1 0.0000 0.0000 0.0000 x1
Cu1 0.5000 0.5000 0.5000 x1
As1 0.0000 0.5000 0.5000 x2
Se1 0.5000 0.5000 0.0000 x1

Computed properties:
DOS at the Fermi energy: 3.83 states/eV/f.u.
size of the total moment: 1.5 μB/f.u.
uncorrected energy: -1.011 Ha/atom
E_form (uncorrected): 0.951 eV/atom

---

(12)
## CaTcBC2 (meta-GGA SCAN)

Data for CaTcBC2 at its PBEsol-relaxed geometry.

Unit cell a=4.0014 b=4.0014 c=4.0746 alpha=90.00 beta=90.00 gamma=90.00
Space group P4/mmm (No. 123)
One atom of each set of equivalent atoms:
Ca1 0.0000 0.0000 0.0000 x1
Tc1 0.5000 0.5000 0.5000 x1
B1 0.5000 0.5000 0.0000 x1
C1 0.0000 0.5000 0.5000 x2

Computed properties:
DOS at the Fermi energy: 2.27 states/eV/f.u.
size of the total moment: 0.0 μB/f.u.
energy of formation from the pure elements: 75 kJ per mole of atoms
uncorrected energy: -0.503 Ha/atom

---

(13)
## ZnPt4Se (meta-GGA SCAN)

Data for ZnPt4Se at its PBEsol-relaxed geometry.

Unit cell a=7.3863 b=7.3863 c=7.3863 alpha=90.00 beta=90.00 gamma=90.00
Space group F-43m (No. 216)
One atom of each set of equivalent atoms:
Zn1 0.0000 0.0000 0.0000 x4
Pt1 0.1250 0.1250 0.3750 x16
Se1 0.2500 0.2500 0.7500 x4

Computed properties:
DOS at the Fermi energy: 3.67 states/eV/f.u.
size of the total moment: 0.0 μB/f.u.
uncorrected energy: -1.915 Ha/atom
E_form (uncorrected): 0.298 eV/atom

---

(14)
## TlFeIr2Ru (meta-GGA SCAN)

Data for TlFeIr2Ru at its PBEsol-relaxed geometry.

Unit cell a=4.6736 b=4.6736 c=4.5757 alpha=90.00 beta=90.00 gamma=90.00
Space group P4/mmm (No. 123)
One atom of each set of equivalent atoms:
Tl1 0.0000 0.0000 0.0000 x1
Fe1 0.5000 0.5000 0.0000 x1
Ir1 0.0000 0.5000 0.5000 x2
Ru1 0.5000 0.5000 0.5000 x1

Computed properties:
DOS at the Fermi energy: 4.46 states/eV/f.u.
size of the total moment: 4.2 μB/f.u.
energy of formation from the pure elements: 137 kJ per mole of atoms
uncorrected energy: -1.914 Ha/atom

---

(15)
## Tl2Zn2Sb (meta-GGA SCAN)

Data for Tl2Zn2Sb at its PBEsol-relaxed geometry.

Unit cell a=7.0755 b=7.0755 c=4.7099 alpha=90.00 beta=90.00 gamma=90.00
Space group P4/mbm (No. 127)
One atom of each set of equivalent atoms:
Tl1 0.1775 0.3225 0.0000 x4
Zn1 0.1247 0.6247 0.5000 x4
Sb1 0.0000 0.0000 0.5000 x2

Computed properties:
DOS at the Fermi energy: 1.71 states/eV/f.u.
size of the total moment: 0.0 μB/f.u.
uncorrected energy: -1.533 Ha/atom
E_form (uncorrected): 0.099 eV/atom

---

(16)
## CaLa2Hg (meta-GGA SCAN)

Data for CaLa2Hg at its PBEsol-relaxed geometry.

Unit cell a=3.6605 b=5.4516 c=12.5480 alpha=90.00 beta=90.00 gamma=90.00
Space group Immm (No. 71)
One atom of each set of equivalent atoms:
Ca1 0.0000 0.0000 0.0000 x2
La1 0.0000 0.5000 0.2118 x4
Hg1 0.0000 0.0000 0.5000 x2

Computed properties:
DOS at the Fermi energy: 4.25 states/eV/f.u.
size of the total moment: 0.0 μB/f.u.
energy of formation from the pure elements: -33 kJ per mole of atoms
uncorrected energy: -1.520 Ha/atom

---

(17)
## TeIr2O (meta-GGA SCAN)

Data for TeIr2O at its PBEsol-relaxed geometry.

Unit cell a=4.6884 b=4.6884 c=12.5447 alpha=90.00 beta=90.00 gamma=90.00
Space group I-42d (No. 122)
One atom of each set of equivalent atoms:
Te1 0.0000 0.0000 0.0000 x4
Ir1 0.1172 0.2500 0.6250 x8
O1 0.0000 0.0000 0.5000 x4

Computed properties:
DOS at the Fermi energy: 1.67 states/eV/f.u.
size of the total moment: 0.0 μB/f.u.
uncorrected energy: -1.703 Ha/atom
E_form (uncorrected): 0.066 eV/atom

---

(18)
## KCr2Cl (meta-GGA SCAN)

Data for KCr2Cl at its PBEsol-relaxed geometry.

Unit cell a=3.3701 b=4.8039 c=6.4066 alpha=90.00 beta=90.00 gamma=90.00
Space group Pmmm (No. 47)
One atom of each set of equivalent atoms:
K1 0.0000 0.0000 0.0000 x1
Cr1 0.0000 0.5000 0.5000 x1
Cr2 0.5000 0.0000 0.5000 x1
Cl1 0.5000 0.5000 0.0000 x1

Computed properties:
DOS at the Fermi energy: 1.30 states/eV/f.u.
size of the total moment: 10.2 μB/f.u.
uncorrected energy: -0.485 Ha/atom
E_form (uncorrected): 0.058 eV/atom

---

(19)
## ZnCu (meta-GGA SCAN)

Data for ZnCu at its PBEsol-relaxed geometry.

Unit cell a=4.9384 b=4.9384 c=4.1301 alpha=90.00 beta=90.00 gamma=120.00
Space group P6/mmm (No. 191)
One atom of each set of equivalent atoms:
Zn1 0.0000 0.0000 0.0000 x1
Zn2 0.3333 0.6667 0.5000 x2
Cu1 0.0000 0.5000 0.0000 x3

Computed properties:
DOS at the Fermi energy: 0.79 states/eV/f.u.
size of the total moment: 0.0 μB/f.u.
energy of formation from the pure elements: 1 kJ per mole of atoms
uncorrected energy: -0.527 Ha/atom

---

(20)
## CrPbBr2 (meta-GGA SCAN)

Data for CrPbBr2 at its PBEsol-relaxed geometry.

Unit cell a=3.6622 b=3.6622 c=28.0112 alpha=90.00 beta=90.00 gamma=120.00
Space group R-3m (No. 166, hexagonal axes)
One atom of each set of equivalent atoms:
Cr1 0.0000 0.0000 0.0000 x3
Pb1 0.0000 0.0000 0.5000 x3
Br1 0.0000 0.0000 0.3898 x6

Computed properties:
DOS at the Fermi energy: 4.09 states/eV/f.u.
size of the total moment: 4.5 μB/f.u.
uncorrected energy: -1.242 Ha/atom
E_form (uncorrected): -0.533 eV/atom

---

(21)
## Na3BePd (meta-GGA SCAN)

Data for Na3BePd at its PBEsol-relaxed geometry.

Unit cell a=5.3095 b=5.3095 c=5.3095 alpha=90.00 beta=90.00 gamma=90.00
Space group Pm-3m (No. 221)
One atom of each set of equivalent atoms:
Na1 0.0000 0.0000 0.5000 x3
Be1 0.5000 0.5000 0.5000 x1
Pd1 0.0000 0.0000 0.0000 x1

Computed properties:
DOS at the Fermi energy: 2.57 states/eV/f.u.
size of the total moment: 0.0 μB/f.u.
energy of formation from the pure elements: 64 kJ per mole of atoms
uncorrected energy: -0.342 Ha/atom

---

(22)
## MgHgPt2 (meta-GGA SCAN)

Data for MgHgPt2 at its PBEsol-relaxed geometry.

Unit cell a=2.9585 b=4.6387 c=4.8078 alpha=90.00 beta=90.00 gamma=90.00
Space group Pmm2 (No. 25)
One atom of each set of equivalent atoms:
Mg1 0.0000 0.0000 0.0000 x1
Hg1 0.0000 0.5000 0.3878 x1
Pt1 0.5000 0.0000 0.5157 x1
Pt2 0.5000 0.5000 0.8882 x1

Computed properties:
DOS at the Fermi energy: 1.00 states/eV/f.u.
size of the total moment: 0.0 μB/f.u.
energy of formation from the pure elements: -39 kJ per mole of atoms
uncorrected energy: -1.977 Ha/atom

---

(23)
## TlNiTe2 (meta-GGA SCAN)

Data for TlNiTe2 at its PBEsol-relaxed geometry.

Unit cell a=7.1813 b=7.1813 c=7.1813 alpha=90.00 beta=90.00 gamma=90.00
Space group Fm-3m (No. 225)
One atom of each set of equivalent atoms:
Tl1 0.0000 0.0000 0.0000 x4
Ni1 0.0000 0.0000 0.5000 x4
Te1 0.2500 0.2500 0.2500 x8

Computed properties:
DOS at the Fermi energy: 4.15 states/eV/f.u.
size of the total moment: 1.2 μB/f.u.
uncorrected energy: -1.479 Ha/atom
E_form (uncorrected): 0.522 eV/atom

---

(24)
## NbPbO2 (meta-GGA SCAN)

Data for NbPbO2 at its PBEsol-relaxed geometry.

Unit cell a=5.9027 b=5.9027 c=5.9027 alpha=90.00 beta=90.00 gamma=90.00
Space group Fm-3m (No. 225)
One atom of each set of equivalent atoms:
Nb1 0.0000 0.0000 0.0000 x4
Pb1 0.0000 0.0000 0.5000 x4
O1 0.2500 0.2500 0.2500 x8

Computed properties:
DOS at the Fermi energy: 1.94 states/eV/f.u.
size of the total moment: 0.0 μB/f.u.
uncorrected energy: -1.136 Ha/atom
E_form (uncorrected): -0.578 eV/atom

---

(25)
## Ca9Fe2N8 (meta-GGA SCAN)

Data for Ca9Fe2N8 at its PBEsol-relaxed geometry.

Unit cell a=18.2878 b=4.8867 c=7.6038 alpha=90.00 beta=111.12 gamma=90.00
Space group C2/m (No. 12)
One atom of each set of equivalent atoms:
Ca1 0.0000 0.0000 0.0000 x2
Ca2 0.0376 0.5000 0.7356 x4
Ca3 0.0881 0.0000 0.4843 x4
Ca4 0.1734 0.0000 0.9503 x4
Ca5 0.1953 0.5000 0.3171 x4
Fe1 0.1919 0.5000 0.6999 x4
N1 0.0376 0.0000 0.7456 x4
N2 0.1079 0.5000 0.4996 x4
N3 0.1816 0.5000 0.9149 x4
N4 0.2165 0.0000 0.3165 x4

Computed properties:
DOS at the Fermi energy: 3.37 states/eV/f.u.
size of the total moment: 5.0 μB/f.u.
uncorrected energy: -0.416 Ha/atom
E_form (uncorrected): -0.916 eV/atom

---

(26)
## Cs3RePt (meta-GGA SCAN)

Data for Cs3RePt at its PBEsol-relaxed geometry.

Unit cell a=5.5880 b=5.5880 c=5.5880 alpha=90.00 beta=90.00 gamma=90.00
Space group Pm-3m (No. 221)
One atom of each set of equivalent atoms:
Cs1 0.0000 0.0000 0.5000 x3
Re1 0.0000 0.0000 0.0000 x1
Pt1 0.5000 0.5000 0.5000 x1

Computed properties:
DOS at the Fermi energy: 12.95 states/eV/f.u.
size of the total moment: 0.5 μB/f.u.
energy of formation from the pure elements: 166 kJ per mole of atoms
uncorrected energy: -1.809 Ha/atom

---

(27)
## ZnCuSn3 (meta-GGA SCAN)

Data for ZnCuSn3 at its PBEsol-relaxed geometry.

Unit cell a=5.0065 b=5.0065 c=5.0065 alpha=90.00 beta=90.00 gamma=90.00
Space group Pm-3m (No. 221)
One atom of each set of equivalent atoms:
Zn1 0.0000 0.0000 0.0000 x1
Cu1 0.5000 0.5000 0.5000 x1
Sn1 0.0000 0.5000 0.5000 x3

Computed properties:
DOS at the Fermi energy: 2.52 states/eV/f.u.
size of the total moment: 0.0 μB/f.u.
energy of formation from the pure elements: 46 kJ per mole of atoms
uncorrected energy: -0.986 Ha/atom